Crystalline Ga5IrPt at its relaxed geometry, computed with PBE.

POSCAR file:
```
Ga5IrPt
1.0
6.487 0.057 0.015
2.112 6.134 0.015
3.102 2.233 8.310
Ga Ir Pt
10 2 2
Direct
0.772 0.731 0.125 Ga
0.319 0.673 0.462 Ga
0.731 0.772 0.625 Ga
0.890 0.110 0.250 Ga
0.327 0.681 0.038 Ga
0.673 0.319 0.962 Ga
0.110 0.890 0.750 Ga
0.269 0.228 0.375 Ga
0.681 0.327 0.538 Ga
0.228 0.269 0.875 Ga
0.000 0.000 0.000 Ir
0.000 0.000 0.500 Ir
0.543 0.457 0.250 Pt
0.457 0.543 0.750 Pt
```

Calculated values
- ΔE_f (eV per atom) = -0.29
- calculated total energy (eV per atom) = -4.58

Crystalline Sc2Be at its relaxed geometry, computed with PBE.

POSCAR file:
```
Sc2Be
1.0
-1.913 -5.147 -1.068
-5.335 -1.282 1.087
-3.590 -0.832 -4.209
Sc Be
4 2
Direct
0.625 0.125 0.125 Sc
0.125 0.625 0.125 Sc
0.125 0.125 0.625 Sc
0.125 0.125 0.125 Sc
0.500 0.500 0.500 Be
0.750 0.750 0.750 Be
```

Calculated values
- ΔE_f (eV per atom) = 0.79
- excess energy over the best structure of this formula in the dataset (meV per atom) = 818
- calculated total energy (eV per atom) = -4.68

Crystalline Ce2PrDy3S6 at its relaxed geometry, computed with PBE.

POSCAR file:
```
Ce2PrDy3S6
1.0
-3.892 -5.406 -1.615
5.751 -0.874 3.626
-4.017 2.881 4.900
Ce Pr Dy S
2 1 3 6
Direct
0.333 0.667 0.000 Ce
0.667 0.333 0.000 Ce
0.000 0.000 0.000 Pr
0.164 0.836 0.500 Dy
0.836 0.164 0.500 Dy
0.500 0.500 0.500 Dy
0.912 0.575 0.735 S
0.750 0.750 0.262 S
0.088 0.425 0.265 S
0.575 0.912 0.735 S
0.250 0.250 0.738 S
0.425 0.088 0.265 S
```

Calculated values
- formation energy without anion corrections (meV per atom) = -2025.9
- calculated total energy (eV per atom) = -6.63

Crystalline EuSc2Al at its relaxed geometry, computed with PBE.

POSCAR file:
```
EuSc2Al
1.0
-2.320 -2.127 -1.020
0.681 -2.158 -2.414
2.839 -8.690 6.303
Eu Sc Al
1 2 1
Direct
0.000 0.000 0.000 Eu
0.100 0.100 0.699 Sc
0.900 0.900 0.301 Sc
0.500 0.500 0.500 Al
```

Calculated values
- ΔE_f (eV per atom) = 0.09
- excess energy over the best structure of this formula in the dataset (meV per atom) = 223
- calculated total energy (eV per atom) = -6.58

Crystalline PmScZnIr at its relaxed geometry, computed with PBE.

POSCAR file:
```
PmScZnIr
1.0
-0.407 -1.196 -4.702
-2.506 -3.969 -1.294
-4.285 0.458 -2.266
Sc Zn Ir Pm
1 1 1 1
Direct
0.250 0.250 0.250 Sc
0.000 0.000 0.000 Zn
0.500 0.500 0.500 Ir
0.750 0.750 0.750 Pm
```

Calculated values
- ΔE_f (eV per atom) = -0.55
- calculated total energy (eV per atom) = -5.85

Crystalline CePr2Cd at its relaxed geometry, computed with PBE.

POSCAR file:
```
CePr2Cd
1.0
-4.764 -0.189 -2.812
0.043 -0.905 -5.460
-1.831 -4.816 -2.022
Pr Ce Cd
2 1 1
Direct
0.250 0.250 0.250 Pr
0.750 0.750 0.750 Pr
0.500 0.500 0.500 Ce
0.000 0.000 0.000 Cd
```

Calculated values
- ΔE_f (eV per atom) = 0.04
- excess energy over the best structure of this formula in the dataset (meV per atom) = 152
- calculated total energy (eV per atom) = -4.06

Crystalline Na2CaH4 at its relaxed geometry, computed with PBE.

POSCAR file:
```
Na2CaH4
1.0
4.279 0.000 0.000
0.000 4.279 0.000
-2.140 -2.140 6.247
Na Ca H
2 1 4
Direct
0.654 0.654 0.308 Na
0.346 0.346 0.692 Na
0.000 0.000 0.000 Ca
0.823 0.823 0.646 H
0.177 0.177 0.354 H
0.000 0.500 0.000 H
0.500 0.000 0.000 H
```

Calculated values
- excess energy over the best structure of this formula in the dataset (meV per atom) = 77
- calculated total energy (eV per atom) = -2.80

Crystalline Mg3InAg5 at its relaxed geometry, computed with PBE.

POSCAR file:
```
Mg3InAg5
1.0
5.906 0.000 0.000
0.000 7.078 -4.087
0.000 0.000 8.173
Mg In Ag
6 2 10
Direct
0.750 0.353 0.354 Mg
0.750 0.000 0.646 Mg
0.750 0.646 0.000 Mg
0.250 0.647 0.646 Mg
0.250 0.000 0.354 Mg
0.250 0.354 0.000 Mg
0.000 0.000 0.000 In
0.500 0.000 0.000 In
0.000 0.667 0.333 Ag
0.500 0.333 0.667 Ag
0.000 0.333 0.667 Ag
0.500 0.667 0.333 Ag
0.750 0.680 0.680 Ag
0.750 0.000 0.320 Ag
0.750 0.320 0.000 Ag
0.250 0.320 0.320 Ag
0.250 0.000 0.680 Ag
0.250 0.680 0.000 Ag
```

Calculated values
- ΔE_f (eV per atom) = -0.14
- excess energy over the best structure of this formula in the dataset (meV per atom) = 0
- calculated total energy (eV per atom) = -2.56

| no. | magnetization (μB per cell) | calculated volume (Å³/cell) | density of states at the Fermi level (states/eV/f.u.) |
| --- | --- | --- | --- |
| 1 | 0.00 | 329.21 | 2.1 |
| 2 | 0.00 | 123.77 | 2.2 |
| 3 | 1.58 | 267.32 | 12.2 |
| 4 | 7.59 | 103.71 | 5.1 |
| 5 | 0.00 | 81.63 | 2.9 |
| 6 | 2.15 | 119.89 | 9.3 |
| 7 | 0.00 | 114.39 | 0.0 |
| 8 | 0.00 | 341.65 | 3.1 |